[1]
Computed, not measured: a relaxed structure of CaIr2O6 at the PBE level of DFT.

Cell: 5.306 5.306 4.906 Å, 90.00 90.00 120.00°
Sites, in units of the cell vectors:
Ca  0.000  0.000  0.000
Ir  0.333  0.667  0.500
Ir  0.667  0.333  0.500
O  0.000  0.371  0.714
O  0.000  0.629  0.286
O  0.371  0.000  0.714
O  0.371  0.371  0.286
O  0.629  0.000  0.286
O  0.629  0.629  0.714

Output
Crystal system ... trigonal
DOS at the Fermi energy ... 0.78 states/eV/atom
Raw formation energy ... -28.714 kcal/mol of atoms

[2]
Computed, not measured: a relaxed structure of Ti3Pd2Pt3 at the PBE level of DFT.

Cell: 8.916 8.916 8.916 Å, 156.86 153.28 35.63°
Sites, in units of the cell vectors:
Ti  0.000  0.000  0.000
Ti  0.362  0.862  0.500
Ti  0.638  0.138  0.500
Pd  0.248  0.248  0.000
Pd  0.752  0.752  0.000
Pt  0.114  0.614  0.500
Pt  0.500  0.500  0.000
Pt  0.886  0.386  0.500

Output
Formation energy ... -0.82 eV per atom
Crystal system ... orthorhombic
DOS at the Fermi energy ... 0.83 states/eV/atom

[3]
Computed, not measured: a relaxed structure of Na2Ho5Hg12 at the PBE level of DFT.

Cell: 8.663 8.663 9.041 Å, 121.23 121.23 69.95°
Sites, in units of the cell vectors:
Na  0.247  0.753  0.000
Na  0.753  0.247  0.000
Ho  0.219  0.219  0.077
Ho  0.232  0.232  0.679
Ho  0.500  0.500  0.500
Ho  0.768  0.768  0.321
Ho  0.781  0.781  0.923
Hg  0.056  0.056  0.238
Hg  0.109  0.657  0.225
Hg  0.138  0.470  0.449
Hg  0.343  0.891  0.775
Hg  0.460  0.460  0.125
Hg  0.470  0.138  0.449
Hg  0.530  0.862  0.551
Hg  0.540  0.540  0.875
Hg  0.657  0.109  0.225
Hg  0.862  0.530  0.551
Hg  0.891  0.343  0.775
Hg  0.944  0.944  0.762

Output
Formation energy ... -0.24 eV per atom
Crystal system ... monoclinic
DOS at the Fermi energy ... 0.61 states/eV/atom

[4]
Computed, not measured: a relaxed structure of RbTl2InCu at the PBE level of DFT.

Cell: 5.469 5.469 5.304 Å, 90.00 90.00 90.00°
Sites, in units of the cell vectors:
Rb  0.000  0.000  0.000
Tl  0.000  0.500  0.500
Tl  0.500  0.000  0.500
In  0.500  0.500  0.000
Cu  0.500  0.500  0.500

Output
Formation energy ... 0.09 eV per atom
Crystal system ... tetragonal
DOS at the Fermi energy ... 0.54 states/eV/atom

[5]
Computed, not measured: a relaxed structure of La6Sm2ErTm at the PBE level of DFT.

Cell: 9.067 9.067 9.343 Å, 91.87 91.87 114.03°
Sites, in units of the cell vectors:
La  0.018  0.456  0.818
La  0.081  0.769  0.582
La  0.231  0.919  0.918
La  0.290  0.558  0.396
La  0.442  0.710  0.104
La  0.456  0.018  0.318
La  0.544  0.982  0.682
La  0.558  0.290  0.896
La  0.710  0.442  0.604
La  0.769  0.081  0.082
La  0.919  0.231  0.418
La  0.982  0.544  0.182
Sm  0.204  0.290  0.062
Sm  0.290  0.204  0.562
Sm  0.710  0.796  0.438
Sm  0.796  0.710  0.938
Er  0.056  0.944  0.250
Er  0.944  0.056  0.750
Tm  0.421  0.579  0.750
Tm  0.579  0.421  0.250

Output
Formation energy ... 0.12 eV per atom
Crystal system ... monoclinic
DOS at the Fermi energy ... 1.15 states/eV/atom

[6]
Computed, not measured: a relaxed structure of InFeRu2S at the PBE level of DFT.

Cell: 4.413 4.413 4.849 Å, 90.00 90.00 90.00°
Sites, in units of the cell vectors:
In  0.000  0.000  0.000
Fe  0.000  0.000  0.500
Ru  0.000  0.500  0.500
Ru  0.500  0.000  0.500
S  0.500  0.500  0.000

Output
Crystal system ... tetragonal
DOS at the Fermi energy ... 1.13 states/eV/atom
Raw formation energy ... 26.785 kcal/mol of atoms

[7]
Computed, not measured: a relaxed structure of CaSc2PbO at the PBE level of DFT.

Cell: 5.670 5.670 4.668 Å, 90.00 90.00 90.00°
Sites, in units of the cell vectors:
Ca  0.000  0.000  0.000
Sc  0.000  0.500  0.500
Sc  0.500  0.000  0.500
Pb  0.500  0.500  0.500
O  0.500  0.500  0.000

Output
Crystal system ... tetragonal
DOS at the Fermi energy ... 1.38 states/eV/atom
Raw formation energy ... 8.295 kcal/mol of atoms
Relative energy among the computed polymorphs ... 8.52 eV/f.u.

[8]
Computed, not measured: a relaxed structure of YSeBrO4 at the PBE level of DFT.

Cell: 6.257 6.257 6.753 Å, 101.67 101.67 69.75°
Sites, in units of the cell vectors:
Y  0.229  0.229  0.130
Y  0.771  0.771  0.870
Se  0.364  0.364  0.733
Se  0.636  0.636  0.267
Br  0.019  0.019  0.757
Br  0.981  0.981  0.243
O  0.133  0.488  0.861
O  0.284  0.284  0.490
O  0.472  0.472  0.234
O  0.488  0.133  0.861
O  0.512  0.867  0.139
O  0.528  0.528  0.766
O  0.716  0.716  0.510
O  0.867  0.512  0.139

Output
Crystal system ... monoclinic
Raw formation energy ... -36.745 kcal/mol of atoms

[9]
Computed, not measured: a relaxed structure of Sr2CaSn2 at the PBE level of DFT.

Cell: 8.487 8.487 4.934 Å, 90.00 90.00 90.00°
Sites, in units of the cell vectors:
Sr  0.170  0.330  0.000
Sr  0.330  0.830  0.000
Sr  0.670  0.170  0.000
Sr  0.830  0.670  0.000
Ca  0.000  0.000  0.500
Ca  0.500  0.500  0.500
Sn  0.125  0.625  0.500
Sn  0.375  0.125  0.500
Sn  0.625  0.875  0.500
Sn  0.875  0.375  0.500

Output
Formation energy ... -0.61 eV per atom
Crystal system ... tetragonal
DOS at the Fermi energy ... 0.61 states/eV/atom
Relative energy among the computed polymorphs ... 0.00 eV/f.u.

[10]
Computed, not measured: a relaxed structure of BaRePb at the PBE level of DFT.

Cell: 3.943 3.943 6.767 Å, 90.00 90.00 120.00°
Sites, in units of the cell vectors:
Ba  0.000  0.000  0.000
Re  0.333  0.667  0.668
Pb  0.667  0.333  0.438

Output
Formation energy ... 1.00 eV per atom
Crystal system ... trigonal
DOS at the Fermi energy ... 0.61 states/eV/atom
Relative energy among the computed polymorphs ... 0.69 eV/f.u.

[11]
Computed, not measured: a relaxed structure of SbPdPb at the PBE level of DFT.

Cell: 9.601 4.689 6.743 Å, 90.00 90.00 90.00°
Sites, in units of the cell vectors:
Sb  0.131  0.250  0.026
Sb  0.369  0.750  0.526
Sb  0.631  0.250  0.474
Sb  0.869  0.750  0.974
Pd  0.124  0.750  0.785
Pd  0.376  0.250  0.285
Pd  0.624  0.750  0.715
Pd  0.876  0.250  0.215
Pb  0.122  0.250  0.524
Pb  0.378  0.750  0.024
Pb  0.622  0.250  0.976
Pb  0.878  0.750  0.476

Output
Crystal system ... orthorhombic
DOS at the Fermi energy ... 0.54 states/eV/atom
Raw formation energy ... -5.748 kcal/mol of atoms
Relative energy among the computed polymorphs ... 0.01 eV/f.u.

[12]
Computed, not measured: a relaxed structure of TcNiRh at the PBE level of DFT.

Cell: 2.685 3.732 4.571 Å, 65.92 72.98 89.92°
Sites, in units of the cell vectors:
Tc  0.000  0.000  0.000
Ni  0.339  0.339  0.322
Rh  0.670  0.670  0.661

Output
Formation energy ... -0.08 eV per atom
Crystal system ... triclinic
DOS at the Fermi energy ... 0.91 states/eV/atom
Relative energy among the computed polymorphs ... 0.05 eV/f.u.